Entry 1:
A relaxed AcDy2Zr crystal, computed with PBE-GGA.

- Calculated density: 8.5 Mg/m³
- Polymorph energy (0 for the lowest one): 0.03 eV per formula unit
- Formation energy: 0.164 eV/atom
- DOS at the Fermi energy: 4.9 states/eV per cell
- Total energy: -5.301 eV/atom
- Calculated volume: 31.3 A^3/atom

a b c (Å): 4.9678 4.9678 5.0779
angles (deg): 90.00 90.00 90.00
Closest atoms and distances in Å follow each position.
Space group P4/mmm (No. 123)
Unique sites:
1 Ac 0.0000 0.0000 0.0000 x1  4 Zr 3.51, 8 Dy 3.55
2 Dy 0.0000 0.5000 0.5000 x2  4 Dy 3.51, 4 Zr 3.55, 4 Ac 3.55
3 Zr 0.5000 0.5000 0.0000 x1  4 Ac 3.51, 8 Dy 3.55

Entry 2:
A relaxed AcEr2 crystal, computed with PBE-GGA.

- Calculated density: 8.3 Mg/m³
- Polymorph energy (0 for the lowest one): 0.54 eV per formula unit
- Formation energy: 0.251 eV/atom
- DOS at the Fermi energy: 39.0 states/eV per cell
- Total energy: -4.161 eV/atom
- Calculated volume: 37.6 A^3/atom

a b c (Å): 9.6622 9.6622 9.6622
angles (deg): 90.00 90.00 90.00
Closest atoms and distances in Å follow each position.
Space group Fd-3m (No. 227, origin choice 2)
Unique sites:
1 Ac 0.1250 0.1250 0.1250 x8  12 Er 4.01, 4 Ac 4.18
2 Er 0.0000 0.0000 0.5000 x16  6 Er 3.42

Entry 3:
A relaxed Ac2Er crystal, computed with PBE-GGA.

- Calculated density: 8.6 Mg/m³
- Polymorph energy (0 for the lowest one): 0.00 eV per formula unit
- Formation energy: 0.063 eV/atom
- DOS at the Fermi energy: 9.5 states/eV per cell
- Total energy: -4.197 eV/atom
- Calculated volume: 39.9 A^3/atom

a b c (Å): 3.8928 3.8928 15.8019
angles (deg): 90.00 90.00 90.00
Closest atoms and distances in Å follow each position.
Space group I4/mmm (No. 139)
Unique sites:
1 Ac 0.0000 0.0000 0.1593 x4  4 Er 3.73, 8 Ac 3.89-3.98
2 Er 0.0000 0.0000 0.5000 x2  8 Ac 3.73, 4 Er 3.89